# 1
24
Lattice="8.862 0.000 0.000 0.000 9.087 0.000 -4.221 0.000 11.524" Properties=species:S:1:pos:R:3 comment="Cs3AsPd2 PBE relaxed" delta_e_f_ev_per_atom=-0.20 pbc="T T T"
Cs 0.847 2.267 1.964
Cs -1.264 2.276 7.726
Cs 0.416 4.811 5.067
Cs -1.700 4.816 10.835
Cs 0.410 8.815 5.073
Cs -1.694 8.820 10.829
Cs 6.335 0.267 0.695
Cs 4.230 0.272 6.451
Cs 6.341 4.271 0.689
Cs 4.224 4.276 6.457
Cs 5.904 6.811 3.798
Cs 3.794 6.820 9.560
As 0.403 6.808 8.337
As 2.513 6.823 2.575
As 2.127 2.265 8.949
As 4.238 2.279 3.187
Pd 0.265 6.818 1.728
Pd -1.845 6.813 7.490
Pd 3.376 0.006 2.883
Pd 1.266 4.537 8.645
Pd 3.375 4.550 2.879
Pd 1.264 9.081 8.641
Pd 6.486 2.274 4.033
Pd 4.376 2.269 9.795

# 2
5
Lattice="5.140 0.000 0.000 0.000 5.140 0.000 0.000 0.000 5.140" Properties=species:S:1:pos:R:3 comment="CsAs3Pd PBE relaxed" delta_e_f_ev_per_atom=0.29 pbc="T T T"
Cs 0.000 0.000 0.000
As 0.000 2.570 2.570
As 2.570 0.000 2.570
As 2.570 2.570 0.000
Pd 2.570 2.570 2.570